First-principles (GGA-PBE) data for LaYSnHg after structural relaxation, as listed in Alexandria via LeMat-Bulk.

abc: 5.429 5.429 5.429
angles: 60.00 60.00 60.00
Element x y z (fractional)
La  0.000  0.000  0.000
Y  0.500  0.500  0.500
Sn  0.750  0.750  0.750
Hg  0.250  0.250  0.250

Energy of formation from the pure elements in meV per atom: -616.8
SG: F-43m (216)
Total magnetization in μB/cell: 0.0
Calculated density in Mg/m³: 8.03